CdPbSeN2 | SCAN | PBEsol geometry Values from VASP.

Computed properties:
size of the total moment = 3.88 μB/cell
uncorrected energy = -138.8 eV per cell
ΔE_f (raw) = 1.220 eV/atom

```
&SYSTEM
  ibrav = 0, nat = 5, ntyp = 4
/
ATOMIC_SPECIES
Pb 207.20 Pb.upf
N 14.01 N.upf
Se 78.96 Se.upf
Cd 112.41 Cd.upf
CELL_PARAMETERS angstrom
4.336 0.000 0.000
0.000 4.336 0.000
0.000 0.000 5.435
ATOMIC_POSITIONS angstrom
Pb 2.168 2.168 2.718
N 0.000 2.168 0.000
N 2.168 0.000 0.000
Se 0.000 0.000 2.718
Cd 0.000 0.000 0.000
```



SrSi2Sb | SCAN | PBEsol geometry Values from VASP.

Computed properties:
size of the total moment = 0.00 μB/cell
uncorrected energy = -79.6 eV per cell
ΔE_f (raw) = -0.017 eV/atom

```
&SYSTEM
  ibrav = 0, nat = 4, ntyp = 3
/
ATOMIC_SPECIES
Sb 121.76 Sb.upf
Si 28.09 Si.upf
Sr 87.62 Sr.upf
CELL_PARAMETERS angstrom
-0.272 2.594 -2.747
-2.481 -0.482 -2.822
-6.451 4.575 2.347
ATOMIC_POSITIONS angstrom
Sb -2.049 1.496 -0.997
Si -6.114 4.339 2.091
Si -7.283 5.282 -2.127
Sr -4.810 3.490 -1.452
```



LiCoSe2N | SCAN | PBEsol geometry Values from VASP.

Computed properties:
size of the total moment = 0.00 μB/cell
uncorrected energy = -69.0 eV per cell
ΔE_f (raw) = 0.026 eV/atom

```
&SYSTEM
  ibrav = 0, nat = 5, ntyp = 4
/
ATOMIC_SPECIES
Li 6.94 Li.upf
Co 58.93 Co.upf
Se 78.96 Se.upf
N 14.01 N.upf
CELL_PARAMETERS angstrom
-1.890 -0.056 -2.693
-2.832 -3.515 2.061
-2.912 3.502 1.970
ATOMIC_POSITIONS angstrom
Li -3.817 -0.035 0.669
Co 0.000 0.000 0.000
Se -1.456 1.751 0.985
Se -1.416 -1.757 1.030
N -0.945 -0.028 -1.346
```



MnBiIO2 | SCAN | PBEsol geometry Values from VASP.

Computed properties:
size of the total moment = 5.26 μB/cell
uncorrected energy = -146.6 eV per cell
ΔE_f (raw) = -0.117 eV/atom

```
&SYSTEM
  ibrav = 0, nat = 5, ntyp = 4
/
ATOMIC_SPECIES
I 126.90 I.upf
Mn 54.94 Mn.upf
Bi 208.98 Bi.upf
O 16.00 O.upf
CELL_PARAMETERS angstrom
4.256 0.000 0.000
0.000 4.256 0.000
0.000 0.000 6.399
ATOMIC_POSITIONS angstrom
I 0.000 0.000 3.199
Mn 2.128 2.128 3.199
Bi 0.000 0.000 0.000
O 0.000 2.128 0.000
O 2.128 0.000 0.000
```